1 | RbHfSc2, relaxed, DFT GGA-PBE; space group = Fm-3m (225)
1.0
0.000 3.835 3.835
3.835 0.000 3.835
3.835 3.835 0.000
Sc Hf Rb
2 1 1
Direct
0.250 0.250 0.250
0.750 0.750 0.750
0.500 0.500 0.500
0.000 0.000 0.000

***

2 | RbHfSc2, relaxed, DFT GGA-PBE; space group = I4_1/amd (141)
1.0
5.764 0.000 0.000
0.000 5.764 0.000
2.882 2.882 10.350
Sc Hf Rb
4 2 2
Direct
0.875 0.125 0.250
0.875 0.625 0.250
0.375 0.125 0.750
0.875 0.125 0.750
0.000 0.000 0.000
0.750 0.250 0.500
0.500 0.500 0.000
0.250 0.750 0.500

***

Of them, 2 has the lowest stability.

***

1 | RbHfSi2, relaxed, DFT GGA-PBE; space group = I4_1/amd (141)
1.0
-4.808 1.451 2.829
1.706 -3.151 4.515
2.468 6.046 6.965
Si Hf Rb
4 2 2
Direct
0.875 0.125 0.250
0.875 0.625 0.250
0.375 0.125 0.750
0.875 0.125 0.750
0.000 0.000 0.000
0.750 0.250 0.500
0.500 0.500 0.000
0.250 0.750 0.500

***

2 | RbHfSi2, relaxed, DFT GGA-PBE; space group = Fm-3m (225)
1.0
0.000 3.543 3.543
3.543 0.000 3.543
3.543 3.543 0.000
Si Hf Rb
2 1 1
Direct
0.250 0.250 0.250
0.750 0.750 0.750
0.500 0.500 0.500
0.000 0.000 0.000

***

Of them, 2 has the lowest stability.

***

1 | RbHf3Si, relaxed, DFT GGA-PBE; space group = Pm-3m (221)
1.0
-3.654 2.208 2.536
-2.961 -0.339 -3.972
-1.593 -4.435 1.566
Si Hf Rb
1 3 1
Direct
0.500 0.500 0.500
0.000 0.500 0.000
0.000 0.000 0.500
0.500 0.000 0.000
0.000 0.000 0.000

***

2 | RbHf3Si, relaxed, DFT GGA-PBE; space group = Pm-3m (221)
1.0
-3.672 1.970 -3.017
-1.050 -4.706 -1.794
-3.447 -0.665 3.761
Si Hf Rb
1 3 1
Direct
0.000 0.000 0.000
0.000 0.500 0.000
0.000 0.000 0.500
0.500 0.000 0.000
0.500 0.500 0.500

***

Of them, 1 has the lowest stability.

***

1 | RbHfSi3, relaxed, DFT GGA-PBE; space group = Pm-3m (221)
1.0
-3.097 2.702 -3.143
-4.125 -2.385 2.016
-0.396 3.713 3.582
Si Hf Rb
3 1 1
Direct
0.000 0.500 0.000
0.000 0.000 0.500
0.500 0.000 0.000
0.000 0.000 0.000
0.500 0.500 0.500

***

2 | RbHfSi3, relaxed, DFT GGA-PBE; space group = Pm-3m (221)
1.0
-2.780 -3.074 -2.813
-1.087 -2.730 4.057
-4.023 2.862 0.847
Si Hf Rb
3 1 1
Direct
0.000 0.500 0.000
0.000 0.000 0.500
0.500 0.000 0.000
0.500 0.500 0.500
0.000 0.000 0.000

***

Of them, 2 has the lowest stability.